1.
Na3Cd2Sb4 | the Alexandria database | GGA-PBE | optimized geometry; formation energy from raw total energies = -223 meV/atom; E_tot = -24.3 eV/f.u.; Fermi-level density of states = 2.914 states/eV/f.u.; space-group type = C2/m; size of the total moment = 0.00 μB per formula unit
1.0
4.655 0.000 0.000
-2.328 6.495 0.139
0.000 -2.393 8.684
Na Cd Sb
3 2 4
direct
0.604 0.208 0.693
0.000 0.000 0.000
0.396 0.792 0.307
0.715 0.431 0.377
0.285 0.569 0.623
0.696 0.392 0.053
0.304 0.608 0.947
0.923 0.845 0.613
0.077 0.155 0.387

2.
Na2Cd2Sb | the Alexandria database | GGA-PBE | optimized geometry; formation energy from raw total energies = -153 meV/atom; E_tot = -9.4 eV/f.u.; E above lowest polymorph = 0 meV per atom; Fermi-level density of states = 1.446 states/eV/f.u.; space-group type = P4/mbm; size of the total moment = 0.00 μB per formula unit
1.0
7.557 0.000 0.000
0.000 7.557 0.000
0.000 0.000 4.994
Sb Na Cd
2 4 4
direct
0.000 0.000 0.000
0.500 0.500 0.000
0.175 0.675 0.500
0.675 0.825 0.500
0.825 0.325 0.500
0.325 0.175 0.500
0.370 0.870 0.000
0.870 0.630 0.000
0.630 0.130 0.000
0.130 0.370 0.000

3.
Na3CdSb4 | the Alexandria database | GGA-PBE | optimized geometry; formation energy from raw total energies = -205 meV/atom; E_tot = -23.0 eV/f.u.; Fermi-level density of states = 2.514 states/eV/f.u.; space-group type = Immm; size of the total moment = 0.00 μB per formula unit
1.0
3.312 0.000 0.000
0.000 6.760 0.000
-1.656 -3.380 9.984
Na Cd Sb
3 1 4
direct
0.230 0.230 0.461
0.770 0.770 0.539
0.000 0.500 0.000
0.500 0.000 0.000
0.377 0.598 0.754
0.623 0.402 0.246
0.623 0.844 0.246
0.377 0.156 0.754